(1)
Here is a crystal of La2ZnRhI relaxed with PBEsol from the Alexandria database. Energies are from SCAN.

Cell and atoms, written as POSCAR:
```
La2ZnRhI
1.0
5.401 0.000 0.000
0.000 5.401 0.000
0.000 0.000 4.854
La Zn Rh I
2 1 1 1
direct
0.000 0.500 0.000 La
0.500 0.000 0.000 La
0.000 0.000 0.500 Zn
0.000 0.000 0.000 Rh
0.500 0.500 0.500 I
```

Results
Crystal system ... tetragonal
Symmetry ... P4/mmm
Formation energy (no corrections) ... -0.775 eV per atom

(2)
Here is a crystal of LaRu3I relaxed with PBEsol from the Alexandria database. Energies are from SCAN.

Cell and atoms, written as POSCAR:
```
LaRu3I
1.0
4.780 0.000 0.000
0.000 4.780 0.000
0.000 0.000 4.780
La Ru I
1 3 1
direct
0.000 0.000 0.000 La
0.000 0.500 0.500 Ru
0.500 0.000 0.500 Ru
0.500 0.500 0.000 Ru
0.500 0.500 0.500 I
```

Results
Crystal system ... cubic
Symmetry ... Pm-3m
Formation energy (no corrections) ... 0.936 eV per atom

(3)
Here is a crystal of La2Ru2I relaxed with PBEsol from the Alexandria database. Energies are from SCAN.

Cell and atoms, written as POSCAR:
```
La2Ru2I
1.0
4.261 0.000 0.000
-2.130 3.690 0.000
0.000 0.000 17.555
La Ru I
4 4 2
direct
0.000 0.000 0.108 La
0.000 0.000 0.392 La
0.000 0.000 0.608 La
0.000 0.000 0.892 La
0.333 0.667 0.000 Ru
0.333 0.667 0.500 Ru
0.667 0.333 0.000 Ru
0.667 0.333 0.500 Ru
0.333 0.667 0.250 I
0.667 0.333 0.750 I
```

Results
Crystal system ... hexagonal
Symmetry ... P6_3/mmc
Formation energy (no corrections) ... -0.731 eV per atom

(4)
Here is a crystal of La3RuI3 relaxed with PBEsol from the Alexandria database. Energies are from SCAN.

Cell and atoms, written as POSCAR:
```
La3RuI3
1.0
9.309 0.000 0.000
0.000 4.262 0.000
-0.715 0.000 12.302
La Ru I
6 2 6
direct
0.098 0.250 0.393 La
0.117 0.250 0.837 La
0.317 0.750 0.621 La
0.683 0.250 0.379 La
0.883 0.750 0.163 La
0.902 0.750 0.607 La
0.114 0.250 0.628 Ru
0.886 0.750 0.372 Ru
0.142 0.250 0.118 I
0.376 0.750 0.882 I
0.392 0.750 0.361 I
0.608 0.250 0.639 I
0.624 0.250 0.118 I
0.858 0.750 0.882 I
```

Results
Crystal system ... monoclinic
Symmetry ... P2_1/m
Formation energy (no corrections) ... -1.268 eV per atom

(5)
Here is a crystal of LaTeRuI2 relaxed with PBEsol from the Alexandria database. Energies are from SCAN.

Cell and atoms, written as POSCAR:
```
LaTeRuI2
1.0
6.072 0.000 0.000
0.000 6.072 0.000
0.000 0.000 6.155
La Te Ru I
1 1 1 2
direct
0.000 0.000 0.000 La
0.000 0.000 0.500 Te
0.500 0.500 0.500 Ru
0.000 0.500 0.000 I
0.500 0.000 0.000 I
```

Results
Crystal system ... tetragonal
Symmetry ... P4/mmm
Formation energy (no corrections) ... 0.174 eV per atom

(6)
Here is a crystal of LaS2I relaxed with PBEsol from the Alexandria database. Energies are from SCAN.

Cell and atoms, written as POSCAR:
```
LaS2I
1.0
2.212 1.277 7.850
-2.212 1.277 7.850
0.000 -2.555 7.850
La S I
1 2 1
direct
0.000 0.000 0.000 La
0.389 0.389 0.389 S
0.611 0.611 0.611 S
0.500 0.500 0.500 I
```

Results
Crystal system ... trigonal
Symmetry ... R-3m
E above lowest polymorph ... 0 meV per atom
Formation energy (no corrections) ... -1.447 eV per atom